Compound: Li4MnSnW2O12
Source: the Alexandria database
Functional: meta-GGA SCAN
Structure: PBEsol geometry

Calculated values
Space-group type ... P1
E_tot ... -16.103 eV per atom

abc: 5.0514 5.3394 7.3927
angles: 94.46 90.08 90.02
Closest atoms and distances in Å follow each position.
Element x y z (fractional)
Li 0.0000 0.0000 0.0000  3 O 1.93-1.97
Li 0.0008 0.0071 0.4658  4 O 2.00-2.16
Li 0.4912 0.5124 0.4695  4 O 1.97-2.18
Li 0.4930 0.5320 0.9892  4 O 1.98-2.14
Mn 0.4921 0.9475 0.2580  5 O 1.82-1.97
Sn 0.9958 0.4416 0.7659  6 O 2.00-2.07
W 0.5017 0.9428 0.7588  5 O 1.85-1.94
W 0.9917 0.4439 0.2655  6 O 1.87-1.99
O 0.1249 0.4111 0.0275  1 W 1.88, 1 Li 2.00, 1 Sn 2.06
O 0.1756 0.0965 0.7110  1 W 1.89, 1 Li 2.04, 1 Sn 2.07
O 0.2010 0.7293 0.3301  1 W 1.88, 1 Mn 1.97, 1 Li 2.00
O 0.2907 0.2257 0.3325  1 Mn 1.85, 1 W 1.99, 1 Li 2.04
O 0.3370 0.6168 0.7124  1 W 1.93, 1 Li 2.00, 1 Sn 2.02
O 0.3749 0.9175 0.0247  1 Mn 1.82, 1 Li 1.96
O 0.6158 0.9349 0.5207  1 W 1.85, 1 Li 2.03, 1 Mn 2.05
O 0.6671 0.2441 0.8438  1 W 1.88, 1 Li 2.01, 1 Sn 2.07
O 0.6916 0.6323 0.2148  1 W 1.87, 1 Mn 1.97, 1 Li 1.98
O 0.7935 0.1257 0.2137  1 Mn 1.84, 1 Li 1.97, 1 W 1.98
O 0.8022 0.7608 0.8446  1 Li 1.93, 1 W 1.94, 1 Sn 2.01
O 0.8655 0.4246 0.5090  1 W 1.92, 1 Li 1.97, 1 Sn 2.00


Compound: Li4Mn3TeO12
Source: the Alexandria database
Functional: meta-GGA SCAN
Structure: PBEsol geometry

Calculated values
Space-group type ... P2
E_tot ... -10.670 eV per atom

abc: 4.8074 8.0538 4.8890
angles: 90.00 90.98 90.00
Closest atoms and distances in Å follow each position.
Element x y z (fractional)
Li 0.0000 0.0000 0.0000  4 O 1.92-2.13
Li 0.0000 0.3619 0.5000  4 O 1.91-2.11
Li 0.5000 0.4911 0.5000  4 O 1.91-2.13
Li 0.5000 0.8966 0.0000  4 O 1.91-2.13
Mn 0.0000 0.7994 0.5000  6 O 1.83-1.94
Mn 0.5000 0.0910 0.5000  6 O 1.81-1.90
Mn 0.5000 0.2736 0.0000  6 O 1.82-1.93
Te 0.0000 0.5947 0.0000  6 O 1.92-1.98
O 0.2048 0.7770 0.8234  1 Mn 1.86, 1 Li 1.91, 1 Te 1.98
O 0.2088 0.6205 0.3349  1 Li 1.91, 1 Te 1.92, 1 Mn 1.94
O 0.2455 0.9477 0.3562  2 Mn 1.81-1.83
O 0.2466 0.4345 0.8412  1 Te 1.92, 1 Mn 1.93, 2 Li 2.11-2.13
O 0.3030 0.1078 0.8195  2 Mn 1.85, 1 Li 1.92
O 0.3130 0.2682 0.3194  2 Mn 1.82-1.90, 1 Li 1.91
O 0.6870 0.2682 0.6806  2 Mn 1.82-1.90, 1 Li 1.91
O 0.6970 0.1078 0.1805  2 Mn 1.85, 1 Li 1.92
O 0.7534 0.4345 0.1588  1 Te 1.92, 1 Mn 1.93, 2 Li 2.11-2.13
O 0.7545 0.9477 0.6438  2 Mn 1.81-1.83
O 0.7912 0.6205 0.6651  1 Li 1.91, 1 Te 1.92, 1 Mn 1.94
O 0.7952 0.7770 0.1766  1 Mn 1.86, 1 Li 1.91, 1 Te 1.98


Compound: Li3TiMn4O8
Source: the Alexandria database
Functional: meta-GGA SCAN
Structure: PBEsol geometry

Calculated values
Space-group type ... C2/m
E_tot ... -11.404 eV per atom

abc: 5.9459 5.9459 5.8036
angles: 118.32 118.32 57.03
Closest atoms and distances in Å follow each position.
Element x y z (fractional)
Li 0.0000 0.0000 0.0000  4 O 2.05
Li 0.0000 0.5000 0.0000  6 O 2.08-2.13
Li 0.5000 0.0000 0.0000  6 O 2.08-2.13
Ti 0.5000 0.5000 0.5000  6 O 2.02-2.06
Mn 0.0000 0.0000 0.5000  4 O 2.01
Mn 0.0000 0.5000 0.5000  4 O 1.95
Mn 0.5000 0.0000 0.5000  4 O 1.95
Mn 0.5000 0.5000 0.0000  6 O 2.06-2.12
O 0.2343 0.7378 0.2413  2 Mn 2.01-2.06, 1 Ti 2.02, 2 Li 2.05-2.08
O 0.2599 0.2599 0.7404  3 Mn 1.95-2.12, 2 Li 2.11
O 0.2622 0.7657 0.7587  2 Mn 2.01-2.06, 1 Ti 2.02, 2 Li 2.05-2.08
O 0.2665 0.2665 0.2876  2 Mn 1.95, 1 Ti 2.06, 2 Li 2.13
O 0.7335 0.7335 0.7124  2 Mn 1.95, 1 Ti 2.06, 2 Li 2.13
O 0.7378 0.2343 0.2413  2 Mn 2.01-2.06, 1 Ti 2.02, 2 Li 2.05-2.08
O 0.7401 0.7401 0.2596  3 Mn 1.95-2.12, 2 Li 2.11
O 0.7657 0.2622 0.7587  2 Mn 2.01-2.06, 1 Ti 2.02, 2 Li 2.05-2.08


Compound: Li2TiMnO4
Source: the Alexandria database
Functional: meta-GGA SCAN
Structure: PBEsol geometry

Calculated values
Space-group type ... Imma
E_tot ... -10.581 eV per atom

abc: 5.9733 5.9733 5.9733
angles: 121.65 121.42 87.36
Closest atoms and distances in Å follow each position.
Element x y z (fractional)
Li 0.0000 0.0000 0.0000  6 O 2.11-2.12
Li 0.5000 0.0000 0.0000  6 O 2.13-2.32
Li 0.5000 0.0000 0.5000  6 O 2.11-2.12
Li 0.5000 0.5000 0.5000  6 O 2.13-2.32
Ti 0.0000 0.0000 0.5000  6 O 2.00
Ti 0.0000 0.5000 0.0000  6 O 2.00
Mn 0.0000 0.5000 0.5000  6 O 2.03-2.21
Mn 0.5000 0.5000 0.0000  6 O 2.03-2.21
O 0.2297 0.2447 0.9850  2 Ti 2.00, 3 Li 2.12-2.13, 1 Mn 2.21
O 0.2314 0.2422 0.5108  1 Ti 2.00, 2 Mn 2.03, 2 Li 2.11
O 0.2314 0.7205 0.9892  1 Ti 2.00, 2 Mn 2.03, 2 Li 2.11
O 0.2402 0.7553 0.4850  2 Ti 2.00, 3 Li 2.12-2.13, 1 Mn 2.21
O 0.7598 0.2447 0.5150  2 Ti 2.00, 3 Li 2.12-2.13, 1 Mn 2.21
O 0.7686 0.2795 0.0108  1 Ti 2.00, 2 Mn 2.03, 2 Li 2.11
O 0.7686 0.7578 0.4892  1 Ti 2.00, 2 Mn 2.03, 2 Li 2.11
O 0.7703 0.7553 0.0150  2 Ti 2.00, 3 Li 2.12-2.13, 1 Mn 2.21


Compound: Li2TiMn3O8
Source: the Alexandria database
Functional: meta-GGA SCAN
Structure: PBEsol geometry

Calculated values
Space-group type ... P-1
E_tot ... -11.361 eV per atom

abc: 5.6500 8.7095 10.2080
angles: 65.22 74.69 89.97
Closest atoms and distances in Å follow each position.
Element x y z (fractional)
Li 0.0000 0.0000 0.0000  6 O 2.13-2.27
Li 0.0000 0.5000 0.5000  6 O 2.05-2.20
Li 0.1723 0.1699 0.1635  6 O 2.06-2.25
Li 0.3598 0.3331 0.3340  6 O 2.10-2.30
Li 0.6402 0.6669 0.6660  6 O 2.10-2.30
Li 0.8277 0.8301 0.8365  6 O 2.06-2.25
Ti 0.1661 0.1642 0.6681  6 O 1.89-2.03
Ti 0.5000 0.5000 0.0000  6 O 1.91-2.00
Ti 0.8339 0.8358 0.3319  6 O 1.89-2.03
Mn 0.0000 0.0000 0.5000  4 O 1.89-1.91
Mn 0.0000 0.5000 0.0000  4 O 1.90-1.95
Mn 0.1636 0.6676 0.1621  4 O 1.90-1.92
Mn 0.3269 0.8322 0.3331  4 O 1.91-1.92
Mn 0.3402 0.3374 0.8293  6 O 1.89-1.93
Mn 0.5000 0.0000 0.5000  6 O 1.90-1.93
Mn 0.6598 0.6626 0.1707  6 O 1.89-1.93
Mn 0.6731 0.1678 0.6669  4 O 1.91-1.92
Mn 0.8364 0.3324 0.8379  4 O 1.90-1.92
O 0.0076 0.7449 0.4771  1 Ti 1.89, 1 Mn 1.91, 1 Li 2.05
O 0.0278 0.2543 0.9765  2 Mn 1.89-1.91
O 0.1470 0.9235 0.1870  1 Ti 1.89, 1 Mn 1.92, 1 Li 2.06
O 0.1524 0.3854 0.6893  2 Mn 1.91-1.92, 1 Ti 2.03
O 0.1783 0.9468 0.6453  2 Mn 1.91-1.93, 1 Ti 2.00
O 0.1792 0.4190 0.1438  1 Mn 1.90, 1 Ti 1.91, 1 Li 2.09
O 0.3170 0.0803 0.3574  2 Mn 1.89-1.90, 1 Li 2.12
O 0.3202 0.5481 0.8484  2 Mn 1.93-1.95, 1 Ti 1.97, 1 Li 2.10
O 0.3382 0.5867 0.3087  2 Mn 1.90, 1 Li 2.12
O 0.3573 0.1265 0.8132  2 Mn 1.91-1.92, 1 Ti 1.98
O 0.4860 0.7188 0.0201  2 Mn 1.92-1.93, 1 Ti 2.00
O 0.4979 0.2089 0.5195  2 Mn 1.91-1.92, 1 Ti 1.99, 1 Li 2.10
O 0.5021 0.7911 0.4805  2 Mn 1.91-1.92, 1 Ti 1.99, 1 Li 2.10
O 0.5140 0.2812 0.9799  2 Mn 1.92-1.93, 1 Ti 2.00
O 0.6427 0.8735 0.1868  2 Mn 1.91-1.92, 1 Ti 1.98
O 0.6618 0.4133 0.6913  2 Mn 1.90, 1 Li 2.12
O 0.6798 0.4519 0.1516  2 Mn 1.93-1.95, 1 Ti 1.97, 1 Li 2.10
O 0.6830 0.9197 0.6426  2 Mn 1.89-1.90, 1 Li 2.12
O 0.8208 0.5810 0.8562  1 Mn 1.90, 1 Ti 1.91, 1 Li 2.09
O 0.8217 0.0532 0.3547  2 Mn 1.91-1.93, 1 Ti 2.00
O 0.8476 0.6146 0.3107  2 Mn 1.91-1.92, 1 Ti 2.03
O 0.8530 0.0765 0.8130  1 Ti 1.89, 1 Mn 1.92, 1 Li 2.06
O 0.9722 0.7457 0.0235  2 Mn 1.89-1.91
O 0.9924 0.2551 0.5229  1 Ti 1.89, 1 Mn 1.91, 1 Li 2.05


Compound: Li4Ti5Mn3O16
Source: the Alexandria database
Functional: meta-GGA SCAN
Structure: PBEsol geometry

Calculated values
Space-group type ... Cm
E_tot ... -11.531 eV per atom

abc: 5.8318 5.8318 9.5337
angles: 90.36 90.36 60.63
Closest atoms and distances in Å follow each position.
Element x y z (fractional)
Li 0.0000 0.0000 0.0000  4 O 1.79-1.95
Li 0.0035 0.0035 0.5035  4 O 1.79-1.97
Li 0.3341 0.3341 0.0962  4 O 1.95-1.99
Li 0.6742 0.6742 0.5985  4 O 1.93-1.99
Ti 0.1754 0.1754 0.7723  6 O 1.90-2.10
Ti 0.3447 0.8391 0.2776  6 O 1.88-2.06
Ti 0.3548 0.3548 0.5065  3 O 1.85-1.90
Ti 0.6692 0.6692 0.9999  3 O 1.82-1.97
Ti 0.8391 0.3447 0.2776  6 O 1.88-2.06
Mn 0.1747 0.6642 0.7851  6 O 1.92-2.13
Mn 0.6642 0.1747 0.7851  6 O 1.92-2.13
Mn 0.8338 0.8338 0.2844  6 O 1.92-2.08
O 0.9997 0.9997 0.1874  1 Li 1.79, 1 Mn 1.92, 2 Ti 1.95
O 0.0423 0.4811 0.6585  1 Ti 1.90, 1 Li 1.96, 1 Mn 1.99
O 0.1691 0.1691 0.3948  1 Li 1.97, 3 Ti 2.01-2.14
O 0.1788 0.6707 0.4012  2 Ti 1.90-2.06, 1 Li 1.95, 1 Mn 2.07
O 0.3310 0.8369 0.8979  1 Li 1.95, 1 Mn 1.97, 2 Ti 1.97-2.10
O 0.3385 0.3385 0.8878  2 Mn 1.93, 1 Ti 1.97, 1 Li 1.99
O 0.4811 0.0423 0.6585  1 Ti 1.90, 1 Li 1.96, 1 Mn 1.99
O 0.4872 0.4872 0.6423  1 Ti 1.85, 1 Li 1.93
O 0.5096 0.9614 0.1526  2 Ti 1.88-2.08, 1 Li 1.97, 1 Mn 2.08
O 0.5176 0.5176 0.1624  1 Li 1.95, 2 Ti 1.97
O 0.6707 0.1788 0.4012  2 Ti 1.90-2.06, 1 Li 1.95, 1 Mn 2.07
O 0.6708 0.6708 0.3898  1 Mn 1.93, 2 Ti 1.97, 1 Li 1.99
O 0.8283 0.8283 0.9103  1 Ti 1.82, 1 Li 1.92
O 0.8369 0.3310 0.8979  1 Li 1.95, 1 Mn 1.97, 2 Ti 1.97-2.10
O 0.9614 0.5096 0.1526  2 Ti 1.88-2.08, 1 Li 1.97, 1 Mn 2.08
O 0.9976 0.9976 0.6914  1 Li 1.79, 2 Mn 1.92, 1 Ti 1.94


Compound: Li2TiMn3O8
Source: the Alexandria database
Functional: meta-GGA SCAN
Structure: PBEsol geometry

Calculated values
Space-group type ... R-3m
E_tot ... -11.417 eV per atom

abc: 5.7580 5.7580 5.7580
angles: 59.49 59.49 59.49
Closest atoms and distances in Å follow each position.
Element x y z (fractional)
Li 0.1240 0.1240 0.1240  4 O 1.91-1.98
Li 0.8760 0.8760 0.8760  4 O 1.91-1.98
Ti 0.5000 0.5000 0.5000  6 O 1.97
Mn 0.0000 0.5000 0.5000  6 O 1.92
Mn 0.5000 0.0000 0.5000  6 O 1.92
Mn 0.5000 0.5000 0.0000  6 O 1.92
O 0.2580 0.2580 0.7156  1 Li 1.91, 2 Mn 1.92, 1 Ti 1.97
O 0.2580 0.7156 0.2580  1 Li 1.91, 2 Mn 1.92, 1 Ti 1.97
O 0.2635 0.2635 0.2635  3 Mn 1.92, 1 Li 1.98
O 0.2844 0.7420 0.7420  1 Li 1.91, 2 Mn 1.92, 1 Ti 1.97
O 0.7156 0.2580 0.2580  1 Li 1.91, 2 Mn 1.92, 1 Ti 1.97
O 0.7365 0.7365 0.7365  3 Mn 1.92, 1 Li 1.98
O 0.7420 0.2844 0.7420  1 Li 1.91, 2 Mn 1.92, 1 Ti 1.97
O 0.7420 0.7420 0.2844  1 Li 1.91, 2 Mn 1.92, 1 Ti 1.97


| no. | raw formation energy (kJ/mol of formula units) | calculated density (g/cm3) |
| --- | --- | --- |
| 1 | -4263 | 6.4 |
| 2 | -3574 | 4.5 |
| 3 | -3512 | 4.8 |
| 4 | -1993 | 4.1 |
| 5 | -3244 | 4.0 |
| 6 | -7592 | 4.0 |
| 7 | -3320 | 4.4 |